[1]
## YMg2Tc (GGA-PBEsol)

Data for a relaxed structure of YMg2Tc.

The structure in POSCAR format:
```
YMg2Tc
1.0
2.782 -5.163 0.000
2.782 5.163 0.000
-1.131 0.000 2.783
Y Mg Tc
1 2 1
direct
0.000 0.000 0.000
0.000 0.500 0.500
0.500 0.000 0.500
0.500 0.500 0.000
```

Properties
Its energy above the lowest structure with this stoichiometry is 196 meV/atom. The space group is C2/m, No. 12. Its crystal system is monoclinic. The calculation puts the formation energy at 329.3 meV per atom. The mass density comes out at 4.9 g cm⁻³.

=====

[2]
## YMgTc2 (GGA-PBEsol)

Data for a relaxed structure of YMgTc2.

The structure in POSCAR format:
```
YMgTc2
1.0
3.090 0.000 0.000
0.000 3.090 0.000
0.000 0.000 7.810
Y Mg Tc
1 1 2
direct
0.000 0.000 0.000
0.500 0.500 0.335
0.000 0.000 0.567
0.500 0.500 0.735
```

Properties
The space group is P4mm, No. 99. Its crystal system is tetragonal. The calculation puts the formation energy at 35.2 meV per atom. The mass density comes out at 6.9 g cm⁻³.

=====

[3]
## YMg2Tc (GGA-PBEsol)

Data for a relaxed structure of YMg2Tc.

The structure in POSCAR format:
```
YMg2Tc
1.0
1.492 0.861 10.330
-1.492 0.861 10.330
0.000 -1.723 10.330
Y Mg Tc
1 2 1
direct
0.000 0.000 0.000
0.239 0.239 0.239
0.761 0.761 0.761
0.500 0.500 0.500
```

Properties
Its energy above the lowest structure with this stoichiometry is 249 meV/atom. The space group is R-3m, No. 166. Its crystal system is trigonal. The calculation puts the formation energy at 382.4 meV per atom. The mass density comes out at 4.9 g cm⁻³.

=====

[4]
## Y2MgTc (GGA-PBEsol)

Data for a relaxed structure of Y2MgTc.

The structure in POSCAR format:
```
Y2MgTc
1.0
0.000 3.482 3.482
3.482 0.000 3.482
3.482 3.482 0.000
Y Mg Tc
2 1 1
direct
0.000 0.000 0.000
0.250 0.250 0.250
0.750 0.750 0.750
0.500 0.500 0.500
```

Properties
The space group is F-43m, No. 216. Its crystal system is cubic. The calculation puts the formation energy at 267.6 meV per atom. The mass density comes out at 5.9 g cm⁻³.

=====

[5]
## YMg2Tc (GGA-PBEsol)

Data for a relaxed structure of YMg2Tc.

The structure in POSCAR format:
```
YMg2Tc
1.0
3.762 0.000 0.000
0.000 4.357 0.000
0.000 0.000 4.882
Y Mg Tc
1 2 1
direct
0.000 0.000 0.000
0.000 0.500 0.500
0.500 0.000 0.500
0.500 0.500 0.000
```

Properties
Its energy above the lowest structure with this stoichiometry is 103 meV/atom. The space group is Pmmm, No. 47. Its crystal system is orthorhombic. The calculation puts the formation energy at 236.2 meV per atom. The mass density comes out at 4.9 g cm⁻³.

=====

[6]
## YMgTc (GGA-PBEsol)

Data for a relaxed structure of YMgTc.

The structure in POSCAR format:
```
YMgTc
1.0
0.000 3.220 3.220
3.220 0.000 3.220
3.220 3.220 0.000
Y Mg Tc
1 1 1
direct
0.000 0.000 0.000
0.750 0.750 0.750
0.500 0.500 0.500
```

Properties
The space group is F-43m, No. 216. Its crystal system is cubic. The calculation puts the formation energy at 913.4 meV per atom. The mass density comes out at 5.3 g cm⁻³.

=====

[7]
## YMg2Tc (GGA-PBEsol)

Data for a relaxed structure of YMg2Tc.

The structure in POSCAR format:
```
YMg2Tc
1.0
0.000 3.407 3.407
3.407 0.000 3.407
3.407 3.407 0.000
Y Mg Tc
1 2 1
direct
0.000 0.000 0.000
0.500 0.500 0.500
0.750 0.750 0.750
0.250 0.250 0.250
```

Properties
Its energy above the lowest structure with this stoichiometry is 108 meV/atom. The space group is F-43m, No. 216. Its crystal system is cubic. The calculation puts the formation energy at 241.7 meV per atom. The mass density comes out at 4.9 g cm⁻³.

=====

[8]
## YMg2Tc (GGA-PBEsol)

Data for a relaxed structure of YMg2Tc.

The structure in POSCAR format:
```
YMg2Tc
1.0
3.065 0.000 0.000
0.000 4.485 0.000
-1.531 0.000 5.976
Y Mg Tc
1 2 1
direct
0.000 0.000 0.000
0.254 0.000 0.542
0.664 0.500 0.344
0.412 0.500 0.804
```

Properties
Its energy above the lowest structure with this stoichiometry is 128 meV/atom. The space group is Pm, No. 6. Its crystal system is monoclinic. The calculation puts the formation energy at 261.7 meV per atom. The mass density comes out at 4.8 g cm⁻³.

=====

[9]
## YMg2Tc (GGA-PBEsol)

Data for a relaxed structure of YMg2Tc.

The structure in POSCAR format:
```
YMg2Tc
1.0
-1.726 2.328 5.051
1.726 -2.328 5.051
1.726 2.328 -5.051
Y Mg Tc
1 2 1
direct
0.000 0.000 0.000
0.280 0.780 0.500
0.720 0.220 0.500
0.500 0.500 0.000
```

Properties
Its energy above the lowest structure with this stoichiometry is 0 meV/atom. The space group is Immm, No. 71. Its crystal system is orthorhombic. The calculation puts the formation energy at 133.7 meV per atom. The mass density comes out at 4.8 g cm⁻³.

=====

[10]
## YMgTc2 (GGA-PBEsol)

Data for a relaxed structure of YMgTc2.

The structure in POSCAR format:
```
YMgTc2
1.0
3.148 0.000 0.000
0.000 4.165 0.000
-1.448 0.000 5.757
Y Mg Tc
1 1 2
direct
0.000 0.000 0.000
0.642 0.500 0.324
0.180 0.000 0.554
0.424 0.500 0.736
```

Properties
The space group is Pm, No. 6. Its crystal system is monoclinic. The calculation puts the formation energy at 210.5 meV per atom. The mass density comes out at 6.8 g cm⁻³.

=====

[11]
## MgZnTc (GGA-PBEsol)

Data for a relaxed structure of MgZnTc.

The structure in POSCAR format:
```
MgZnTc
1.0
0.000 2.110 6.545
1.640 0.000 6.545
1.640 2.110 0.000
Mg Zn Tc
1 1 1
direct
0.000 0.000 0.000
0.674 0.674 0.326
0.331 0.331 0.669
```

Properties
Its energy above the lowest structure with this stoichiometry is 0 meV/atom. The space group is Fmm2, No. 42. Its crystal system is orthorhombic. The calculation puts the formation energy at 186.5 meV per atom. The mass density comes out at 6.9 g cm⁻³.

=====

[12]
## MgZn2Tc (GGA-PBEsol)

Data for a relaxed structure of MgZn2Tc.

The structure in POSCAR format:
```
MgZn2Tc
1.0
0.000 3.074 3.074
3.074 0.000 3.074
3.074 3.074 0.000
Mg Zn Tc
1 2 1
direct
0.000 0.000 0.000
0.250 0.250 0.250
0.750 0.750 0.750
0.500 0.500 0.500
```

Properties
Its energy above the lowest structure with this stoichiometry is 121 meV/atom. The space group is Fm-3m, No. 225. Its crystal system is cubic. The calculation puts the formation energy at 141.0 meV per atom. The mass density comes out at 7.2 g cm⁻³.

=====

Q: Which value of mass density does entry 2 give?
A: 6.9 g cm⁻³